7
Lattice="-3.437 3.506 -1.782 -2.382 -1.105 2.419 4.843 7.596 5.605" Properties=species:S:1:pos:R:3 comment="DyTm2Sc4 (PBE, optimized geometry)" sg="Cmmm, No. 65" e_tot_ev_per_fu=-37.7 de_polymorph_mev_per_atom=0 ef_ev_per_atom=0.17 pbc="T T T"
Tm 0.205 7.207 6.130
Tm -1.181 2.790 0.112
Sc 1.309 2.524 2.442
Sc 1.153 3.967 5.582
Sc 0.495 6.023 3.240
Sc -1.472 3.974 3.001
Dy -1.191 -0.553 1.209